[1]
Here is InPbCl2 after structural relaxation from the Alexandria database. Energies are from PBE.

Properties
- ρ (g cm⁻³) = 5.66
- VASP energy (eV per cell) = -25.46
- energy above the most stable polymorph in this dataset (meV per atom) = 61

CIF file:
```
data_InPbCl2
_chemical_formula_sum 'In2 Pb2 Cl4'
_cell_length_a 7.950
_cell_length_b 9.135
_cell_length_c 3.543
_cell_angle_alpha 90.00
_cell_angle_beta 116.43
_cell_angle_gamma 90.00
_space_group_name_H-M_alt 'C 1 2/m 1'
_space_group_IT_number 12
_space_group_name_Hall '-C 2y'
loop_
_atom_site_label
_atom_site_type_symbol
_atom_site_fract_x
_atom_site_fract_y
_atom_site_fract_z
In1 In 0.000 0.000 0.000
Pb1 Pb 0.000 0.500 0.000
Cl1 Cl 0.250 0.250 0.000
```

---

[2]
Here is Tb4Er2N after structural relaxation from the Alexandria database. Energies are from PBE.

Properties
- ρ (g cm⁻³) = 8.09
- VASP energy (eV per cell) = -75.43

CIF file:
```
data_Tb4Er2N
_chemical_formula_sum 'Tb8 Er4 N2'
_cell_length_a 4.808
_cell_length_b 4.808
_cell_length_c 17.464
_cell_angle_alpha 90.00
_cell_angle_beta 90.00
_cell_angle_gamma 90.00
_space_group_name_H-M_alt 'I 4/m m m'
_space_group_IT_number 139
_space_group_name_Hall '-I 4 2'
loop_
_atom_site_label
_atom_site_type_symbol
_atom_site_fract_x
_atom_site_fract_y
_atom_site_fract_z
Tb1 Tb 0.000 0.000 0.134
Tb2 Tb 0.000 0.500 0.000
Er1 Er 0.000 0.000 0.334
N1 N 0.000 0.000 0.000
```

---

[3]
Here is DyC3N6 after structural relaxation from the Alexandria database. Energies are from PBE.

Properties
- ρ (g cm⁻³) = 3.43
- VASP energy (eV per cell) = -243.62

CIF file:
```
data_DyC3N6
_chemical_formula_sum 'Dy3 C9 N18'
_cell_length_a 11.2519
_cell_length_b 11.2519
_cell_length_c 3.7478
_cell_angle_alpha 90.00
_cell_angle_beta 90.00
_cell_angle_gamma 120.00
_space_group_name_H-M_alt 'R 3 m'
_space_group_IT_number 160
_space_group_name_Hall 'R 3 -2"'
loop_
_atom_site_label
_atom_site_type_symbol
_atom_site_fract_x
_atom_site_fract_y
_atom_site_fract_z
Dy1 Dy 0.0000 0.0000 0.0000
C1 C 0.0340 0.5170 0.2251
N1 N 0.0870 0.1739 0.5002
N2 N 0.2106 0.4212 0.6273
```

---

[4]
Here is ZrSb2Br after structural relaxation from the Alexandria database. Energies are from PBE.

Properties
- ρ (g cm⁻³) = 5.72
- VASP energy (eV per cell) = -19.72
- energy above the most stable polymorph in this dataset (meV per atom) = 202

CIF file:
```
data_ZrSb2Br
_chemical_formula_sum 'Zr1 Sb2 Br1'
_cell_length_a 3.181
_cell_length_b 3.181
_cell_length_c 11.886
_cell_angle_alpha 90.00
_cell_angle_beta 90.00
_cell_angle_gamma 90.00
_space_group_name_H-M_alt 'P 4 m m'
_space_group_IT_number 99
_space_group_name_Hall 'P 4 -2'
loop_
_atom_site_label
_atom_site_type_symbol
_atom_site_fract_x
_atom_site_fract_y
_atom_site_fract_z
Zr1 Zr 0.000 0.000 0.000
Sb1 Sb 0.000 0.000 0.484
Sb2 Sb 0.500 0.500 0.811
Br1 Br 0.500 0.500 0.149
```

---

[5]
Here is SnHS2 after structural relaxation from the Alexandria database. Energies are from PBE.

Properties
- ρ (g cm⁻³) = 3.68
- VASP energy (eV per cell) = -66.20
- energy above the most stable polymorph in this dataset (meV per atom) = 0

CIF file:
```
data_SnHS2
_chemical_formula_sum 'Sn4 H4 S8'
_cell_length_a 7.000
_cell_length_b 7.252
_cell_length_c 7.417
_cell_angle_alpha 90.00
_cell_angle_beta 118.24
_cell_angle_gamma 90.00
_space_group_name_H-M_alt 'P 1 21/c 1'
_space_group_IT_number 14
_space_group_name_Hall '-P 2ybc'
loop_
_atom_site_label
_atom_site_type_symbol
_atom_site_fract_x
_atom_site_fract_y
_atom_site_fract_z
Sn1 Sn 0.218 0.144 0.470
H1 H 0.312 0.571 0.612
S1 S 0.043 0.693 0.875
S2 S 0.456 0.065 0.221
```

---

[6]
Here is Li2ZnPt after structural relaxation from the Alexandria database. Energies are from PBE.

Properties
- ρ (g cm⁻³) = 7.91
- VASP energy (eV per cell) = -12.67

CIF file:
```
data_Li2ZnPt
_chemical_formula_sum 'Li2 Zn1 Pt1'
_cell_length_a 3.076
_cell_length_b 3.076
_cell_length_c 6.090
_cell_angle_alpha 90.00
_cell_angle_beta 90.00
_cell_angle_gamma 90.00
_space_group_name_H-M_alt 'P 4 m m'
_space_group_IT_number 99
_space_group_name_Hall 'P 4 -2'
loop_
_atom_site_label
_atom_site_type_symbol
_atom_site_fract_x
_atom_site_fract_y
_atom_site_fract_z
Li1 Li 0.000 0.000 0.000
Li2 Li 0.500 0.500 0.269
Zn1 Zn 0.500 0.500 0.744
Pt1 Pt 0.000 0.000 0.497
```